(1)
First-principles (PBE) data for crystalline AsPdC2 at its relaxed geometry, as listed in the Alexandria database.

Summary:
- E_form: 1101 meV per atom
- Electronic total energy: -5.97 eV per atom

abc: 4.7690 4.7690 8.9824
angles: 90.00 90.00 90.00
Last column: nearest neighbours and their distance in Å.
Space group I-42d (No. 122)
Symmetry-distinct sites (fractional):
As: 0.0000 0.0000 0.0000  4 C 1.96
Pd: 0.0000 0.0000 0.5000  4 C 2.10
C: 0.2253 0.2500 0.1250  2 As 1.96, 2 Pd 2.10



(2)
First-principles (PBE) data for crystalline AsPdC3 at its relaxed geometry, as listed in the Alexandria database.

Summary:
- E_form: 2583 meV per atom
- Electronic total energy: -4.92 eV per atom
- ΔE to the lowest computed polymorph: 0.000 eV per atom

abc: 3.9011 3.9011 3.9011
angles: 90.00 90.00 90.00
Last column: nearest neighbours and their distance in Å.
Space group Pm-3m (No. 221)
Symmetry-distinct sites (fractional):
As: 0.0000 0.0000 0.0000  6 C 1.95
Pd: 0.5000 0.5000 0.5000  12 C 2.76
C: 0.0000 0.0000 0.5000  2 As 1.95



(3)
First-principles (PBE) data for crystalline AsPdC3 at its relaxed geometry, as listed in the Alexandria database.

Summary:
- E_form: 2722 meV per atom
- Electronic total energy: -4.78 eV per atom
- ΔE to the lowest computed polymorph: 0.138 eV per atom

abc: 4.0496 4.0496 4.0496
angles: 90.00 90.00 90.00
Last column: nearest neighbours and their distance in Å.
Space group Pm-3m (No. 221)
Symmetry-distinct sites (fractional):
As: 0.0000 0.0000 0.0000  12 C 2.86
Pd: 0.5000 0.5000 0.5000  6 C 2.02
C: 0.0000 0.5000 0.5000  2 Pd 2.02



(4)
First-principles (PBE) data for crystalline As2PdPtC at its relaxed geometry, as listed in the Alexandria database.

Summary:
- E_form: 1864 meV per atom
- Electronic total energy: -4.09 eV per atom

abc: 4.7153 4.7153 5.1894
angles: 90.00 90.00 90.00
Last column: nearest neighbours and their distance in Å.
Space group P4/mmm (No. 123)
Symmetry-distinct sites (fractional):
As: 0.0000 0.5000 0.0000  2 Pt 2.36
Pd: 0.0000 0.0000 0.5000  2 Pt 2.59
Pt: 0.0000 0.0000 0.0000  4 As 2.36, 2 Pd 2.59
C: 0.5000 0.5000 0.5000  4 Pd 3.33, 8 As 3.51



(5)
First-principles (PBE) data for crystalline AsPdCSe2 at its relaxed geometry, as listed in the Alexandria database.

Summary:
- Raw formation energy: 1803 meV/atom
- Electronic total energy: -3.40 eV per atom
- ΔE to the lowest computed polymorph: 0.746 eV per atom

abc: 5.0568 5.0568 4.6943
angles: 90.00 90.00 90.00
Last column: nearest neighbours and their distance in Å.
Space group P4/mmm (No. 123)
Symmetry-distinct sites (fractional):
As: 0.0000 0.0000 0.0000  2 Pd 2.35
Pd: 0.0000 0.0000 0.5000  2 As 2.35, 4 Se 2.53
C: 0.5000 0.5000 0.0000  8 Se 3.45, 4 As 3.58
Se: 0.0000 0.5000 0.5000  2 Pd 2.53



(6)
First-principles (PBE) data for crystalline AsPdCSe2 at its relaxed geometry, as listed in the Alexandria database.

Summary:
- Raw formation energy: 1057 meV/atom
- Electronic total energy: -4.15 eV per atom
- ΔE to the lowest computed polymorph: 0.000 eV per atom

abc: 4.4245 4.4245 4.2601
angles: 90.00 90.00 90.00
Last column: nearest neighbours and their distance in Å.
Space group P4/mmm (No. 123)
Symmetry-distinct sites (fractional):
As: 0.0000 0.0000 0.0000  2 C 2.13
Pd: 0.5000 0.5000 0.0000  8 Se 3.07, 4 As 3.13
C: 0.0000 0.0000 0.5000  2 As 2.13, 4 Se 2.21
Se: 0.0000 0.5000 0.5000  2 C 2.21



(7)
First-principles (PBE) data for crystalline SnAs2PdC at its relaxed geometry, as listed in the Alexandria database.

Summary:
- E_form: 869 meV per atom
- Electronic total energy: -4.67 eV per atom

abc: 5.2305 5.2305 3.7561
angles: 90.00 90.00 90.00
Last column: nearest neighbours and their distance in Å.
Space group P4/mmm (No. 123)
Symmetry-distinct sites (fractional):
Sn: 0.0000 0.0000 0.0000  8 As 3.22
As: 0.0000 0.5000 0.5000  2 Pd 2.62
Pd: 0.5000 0.5000 0.5000  2 C 1.88
C: 0.5000 0.5000 0.0000  2 Pd 1.88



(8)
First-principles (PBE) data for crystalline Tl2AsPdC at its relaxed geometry, as listed in the Alexandria database.

Summary:
- E_form: 829 meV per atom
- Electronic total energy: -3.93 eV per atom

abc: 5.6096 5.6096 3.7798
angles: 90.00 90.00 90.00
Last column: nearest neighbours and their distance in Å.
Space group P4/mmm (No. 123)
Symmetry-distinct sites (fractional):
Tl: 0.0000 0.5000 0.0000  2 Pd 2.80
As: 0.0000 0.0000 0.5000  8 Tl 3.38, 2 As 3.78
Pd: 0.5000 0.5000 0.0000  2 C 1.89
C: 0.5000 0.5000 0.5000  2 Pd 1.89



(9)
First-principles (PBE) data for crystalline ZrAsPd2C at its relaxed geometry, as listed in the Alexandria database.

Summary:
- E_form: 1190 meV per atom
- Electronic total energy: -5.37 eV per atom

abc: 4.5105 4.5105 5.1379
angles: 90.00 90.00 90.00
Last column: nearest neighbours and their distance in Å.
Space group P4/mmm (No. 123)
Symmetry-distinct sites (fractional):
Zr: 0.0000 0.0000 0.0000  2 As 2.57
As: 0.0000 0.0000 0.5000  4 Pd 2.26
Pd: 0.0000 0.5000 0.5000  2 As 2.26
C: 0.5000 0.5000 0.0000  4 Zr 3.19, 8 Pd 3.42



(10)
First-principles (PBE) data for crystalline Pm6AsC2 at its relaxed geometry, as listed in the Alexandria database.

Summary:
- E_form: -281 meV per atom
- Electronic total energy: -6.01 eV per atom

abc: 13.2716 5.0406 8.9126
angles: 90.00 124.79 90.00
Last column: nearest neighbours and their distance in Å.
Space group C2/m (No. 12)
Symmetry-distinct sites (fractional):
Pm: 0.0321 0.0000 0.2044  2 C 2.50-2.63
Pm: 0.1544 0.5000 0.5875  1 C 2.44
Pm: 0.1981 0.5000 0.0690  3 C 2.56-2.74
As: 0.0000 0.0000 0.5000  6 Pm 2.90-3.06
C: 0.1762 0.0000 0.0904  5 Pm 2.44-2.63



(11)
First-principles (PBE) data for crystalline Pm6As2C at its relaxed geometry, as listed in the Alexandria database.

Summary:
- E_form: -688 meV per atom
- Electronic total energy: -5.91 eV per atom

abc: 6.4095 7.7914 11.4338
angles: 90.00 122.40 90.00
Last column: nearest neighbours and their distance in Å.
Space group P2_1/c (No. 14)
Symmetry-distinct sites (fractional):
Pm: 0.1165 0.1688 0.4494  1 C 2.57
Pm: 0.3083 0.7031 0.4473  1 C 2.54
Pm: 0.3794 0.0301 0.2508  1 C 2.53
As: 0.1828 0.1157 0.7514  8 Pm 3.02-3.31
C: 0.5000 0.0000 0.5000  6 Pm 2.53-2.57



(12)
First-principles (PBE) data for crystalline Pm2AsC at its relaxed geometry, as listed in the Alexandria database.

Summary:
- E_form: 34 meV per atom
- Electronic total energy: -5.81 eV per atom
- ΔE to the lowest computed polymorph: 0.620 eV per atom

abc: 4.8601 4.8601 3.5425
angles: 90.00 90.00 90.00
Last column: nearest neighbours and their distance in Å.
Space group P4/mmm (No. 123)
Symmetry-distinct sites (fractional):
Pm: 0.0000 0.5000 0.0000  4 As 3.01, 4 C 3.01
As: 0.0000 0.0000 0.5000  8 Pm 3.01
C: 0.5000 0.5000 0.5000  8 Pm 3.01